CdRu2Se, optimized geometry, DFT PBE; ΔE to the lowest computed polymorph = 319.0 meV/atom; SG = I-42d, No. 122; calculated volume = 17.9 Å³/atom; electronic total energy = -5.24 eV per atom; formation energy from raw total energies = 498 meV per atom
1.0
-3.544 3.544 2.857
3.544 -3.544 2.857
3.544 3.544 -2.857
Cd Ru Se
2 4 2
Direct
0.000 0.000 0.000 Cd
0.750 0.250 0.500 Cd
0.188 0.125 0.563 Ru
0.375 0.812 0.937 Ru
0.562 0.625 0.437 Ru
0.875 0.438 0.063 Ru
0.250 0.750 0.500 Se
0.500 0.500 0.000 Se